Entry 1:
## CdIn2Ru (PBE-GGA)

Data for a relaxed CdIn2Ru crystal.

```
data_CdIn2Ru
_cell_length_a 10.542
_cell_length_b 3.327
_cell_length_c 4.981
_cell_angle_alpha 90.00
_cell_angle_beta 114.42
_cell_angle_gamma 90.00
_space_group_name_H-M_alt 'C 1 m 1'
_space_group_IT_number 8
loop_
_space_group_symop_operation_xyz
'x,y,z'
'x,-y,z'
'x+1/2,y+1/2,z'
'x+1/2,-y+1/2,z'
loop_
_atom_site_label
_atom_site_fract_x
_atom_site_fract_y
_atom_site_fract_z
_atom_site_occupancy
Cd1 0.000 0.000 0.000 1
In1 0.229 0.000 0.830 1
In2 0.453 0.000 0.452 1
Ru1 0.227 0.500 0.381 1
```

uncorrected energy = -3.776 eV per atom
N(E_F) = 2.94 states/eV per cell
distance to the lowest polymorph of the same formula = 20 meV per atom
spin magnetization = 0.0 μB/f.u.



Entry 2:
## CdInRu2 (PBE-GGA)

Data for a relaxed CdInRu2 crystal.

```
data_CdInRu2
_cell_length_a 2.915
_cell_length_b 2.915
_cell_length_c 8.415
_cell_angle_alpha 90.00
_cell_angle_beta 90.00
_cell_angle_gamma 90.00
_space_group_name_H-M_alt 'P 4 m m'
_space_group_IT_number 99
loop_
_space_group_symop_operation_xyz
'x,y,z'
'-y,x,z'
'-x,-y,z'
'y,-x,z'
'-x,y,z'
'y,x,z'
'x,-y,z'
'-y,-x,z'
loop_
_atom_site_label
_atom_site_fract_x
_atom_site_fract_y
_atom_site_fract_z
_atom_site_occupancy
Cd1 0.000 0.000 0.000 1
In1 0.500 0.500 0.323 1
Ru1 0.000 0.000 0.566 1
Ru2 0.500 0.500 0.754 1
```

uncorrected energy = -5.413 eV per atom
N(E_F) = 2.93 states/eV per cell
spin magnetization = 0.0 μB/f.u.